Entry 1:
! PmNd6Ho2Tm | Alexandria | PBE | relaxed; values from VASP
&SYSTEM
  ibrav = 0, nat = 20, ntyp = 4
/
ATOMIC_SPECIES
Pm 145.00 Pm.upf
Nd 144.24 Nd.upf
Ho 164.93 Ho.upf
Tm 168.93 Tm.upf
ATOMIC_POSITIONS angstrom
Pm 3.781 7.229 7.180
Pm 4.364 -7.229 2.393
Nd 1.848 4.254 6.582
Nd 4.024 4.930 0.524
Nd 4.704 4.930 4.262
Nd 2.721 1.684 8.452
Nd 5.714 4.254 7.777
Nd 4.841 1.684 5.907
Nd 3.304 -1.684 3.666
Nd 2.431 -4.254 1.796
Nd 5.424 -1.684 1.120
Nd 3.441 -4.930 5.311
Nd 4.121 -4.930 9.049
Nd 6.297 -4.254 2.990
Ho 1.707 0.751 5.242
Ho 2.290 -0.751 0.455
Ho 5.855 0.751 9.117
Ho 6.438 -0.751 4.331
Tm 4.364 1.345 2.393
Tm 3.781 -1.345 7.180
CELL_PARAMETERS angstrom
4.655 -7.657 0.000
4.655 7.657 0.000
-1.166 0.000 9.573
! Calculated volume (Å³ per atom): 34.12
! Raw total energy (eV/atom): -4.5835
! Total magnetization (μB/cell): 0.00

***

Entry 2:
! KRbAuCl | Alexandria | PBE | relaxed; values from VASP
&SYSTEM
  ibrav = 0, nat = 4, ntyp = 4
/
ATOMIC_SPECIES
K 39.10 K.upf
Rb 85.47 Rb.upf
Au 196.97 Au.upf
Cl 35.45 Cl.upf
ATOMIC_POSITIONS angstrom
K 0.000 0.000 0.000
Rb 4.048 4.048 4.048
Au 2.024 2.024 2.024
Cl 6.072 6.072 6.072
CELL_PARAMETERS angstrom
0.000 4.048 4.048
4.048 0.000 4.048
4.048 4.048 0.000
! Calculated volume (Å³ per atom): 33.17
! Raw total energy (eV/atom): -2.8294
! Relative energy among the computed polymorphs (kJ/mol of formula units): 19
! Total magnetization (μB/cell): 0.00
! Formation energy from raw total energies (eV/atom): -1.032

***

Entry 3:
! LaAsW2 | Alexandria | PBE | relaxed; values from VASP
&SYSTEM
  ibrav = 0, nat = 4, ntyp = 3
/
ATOMIC_SPECIES
La 138.91 La.upf
As 74.92 As.upf
W 183.84 W.upf
ATOMIC_POSITIONS angstrom
La 0.000 0.000 0.000
As 5.092 5.092 5.092
W 1.697 1.697 1.697
W 3.395 3.395 3.395
CELL_PARAMETERS angstrom
0.000 3.395 3.395
3.395 0.000 3.395
3.395 3.395 0.000
! Calculated volume (Å³ per atom): 19.56
! Raw total energy (eV/atom): -8.3062
! Total magnetization (μB/cell): 0.00